Crystalline Pr2HoPuO8 at its relaxed geometry. Source: the Alexandria database, functional GGA-PBE.

Cell and atoms, written as POSCAR:
```
Pr2HoPuO8
1.0
4.028 -0.269 0.012
-0.246 5.582 -0.081
0.023 -0.092 7.564
Pr Ho Pu O
2 1 1 8
direct
0.501 0.489 0.741
0.499 0.511 0.259
0.000 0.000 0.500
0.000 0.000 0.000
0.043 0.764 0.230
0.578 0.788 0.003
0.946 0.218 0.214
0.957 0.236 0.770
0.422 0.212 0.997
0.054 0.782 0.786
0.520 0.757 0.510
0.480 0.243 0.490
```

Computed properties:
* total magnetization: 0.994 μB per formula unit
* space group: P-1 (2)
* E: -8.657 eV/atom
* calculated density: 8.02 g cm⁻³

Crystalline Rb3Pr2HoO6 at its relaxed geometry. Source: the Alexandria database, functional GGA-PBE.

Cell and atoms, written as POSCAR:
```
Rb3Pr2HoO6
1.0
-3.071 5.427 0.865
-3.219 -5.310 -1.034
1.899 -1.185 6.553
Rb Pr Ho O
3 2 1 6
direct
0.165 0.835 0.500
0.835 0.165 0.500
0.500 0.500 0.500
0.333 0.667 0.000
0.667 0.333 0.000
0.000 0.000 0.000
0.940 0.620 0.821
0.740 0.740 0.179
0.060 0.380 0.179
0.620 0.940 0.821
0.260 0.260 0.821
0.380 0.060 0.179
```

Computed properties:
* total magnetization: 0.000 μB per formula unit
* space group: C2/m (12)
* E: -6.479 eV/atom
* calculated density: 5.86 g cm⁻³